SiNiCl2 | PBE | relaxed

- SG = R-3m, No. 166
- total magnetization (μB/f.u.) = 1.4
- final energy (Ry/atom) = -0.271

Lattice parameters (Å, degrees): 3.357 3.357 24.122 90.00 90.00 120.00
Atoms (fractional coordinates):
Si 0.000 0.000 0.000
Si 0.333 0.667 0.667
Si 0.667 0.333 0.333
Ni 0.000 0.000 0.500
Ni 0.333 0.667 0.167
Ni 0.667 0.333 0.833
Cl 0.000 0.000 0.108
Cl 0.000 0.000 0.892
Cl 0.333 0.667 0.559
Cl 0.333 0.667 0.775
Cl 0.667 0.333 0.225
Cl 0.667 0.333 0.441

MgTlBi2 | PBE | relaxed

- SG = R-3m, No. 166
- DFT formation energy (eV per formula unit) = -0.259
- total magnetization (μB/f.u.) = 0.0

Lattice parameters (Å, degrees): 3.518 3.518 33.629 90.00 90.00 120.00
Atoms (fractional coordinates):
Mg 0.000 0.000 0.000
Mg 0.333 0.667 0.667
Mg 0.667 0.333 0.333
Tl 0.000 0.000 0.500
Tl 0.333 0.667 0.167
Tl 0.667 0.333 0.833
Bi 0.000 0.000 0.260
Bi 0.000 0.000 0.740
Bi 0.333 0.667 0.406
Bi 0.333 0.667 0.927
Bi 0.667 0.333 0.073
Bi 0.667 0.333 0.594

Pr4Ag3Pd | PBE | relaxed

- SG = Pmm2, No. 25
- DFT formation energy (eV per formula unit) = -2.973
- total magnetization (μB/f.u.) = 0.0

Lattice parameters (Å, degrees): 3.957 4.887 11.271 90.00 90.00 90.00
Atoms (fractional coordinates):
Pr 0.000 0.000 0.000
Pr 0.000 0.500 0.270
Pr 0.500 0.000 0.480
Pr 0.500 0.500 0.775
Ag 0.000 0.000 0.707
Ag 0.000 0.500 0.553
Ag 0.500 0.500 0.055
Pd 0.500 0.000 0.211

K5SrBr7 | PBE | relaxed

- SG = Cm, No. 8
- total magnetization (μB/f.u.) = 0.0
- final energy (Ry/atom) = -0.240

Lattice parameters (Å, degrees): 8.219 8.219 27.483 90.15 90.15 31.48
Atoms (fractional coordinates):
K 0.000 0.000 0.000
K 0.001 0.001 0.201
K 0.093 0.093 0.701
K 0.096 0.096 0.500
K 0.267 0.267 0.923
K 0.268 0.268 0.278
K 0.546 0.546 0.850
K 0.548 0.548 0.351
K 0.826 0.826 0.778
K 0.828 0.828 0.423
Sr 0.340 0.340 0.602
Sr 0.755 0.755 0.100
Br 0.119 0.119 0.101
Br 0.183 0.183 0.811
Br 0.186 0.186 0.390
Br 0.346 0.346 0.034
Br 0.346 0.346 0.167
Br 0.458 0.458 0.737
Br 0.462 0.462 0.462
Br 0.634 0.634 0.963
Br 0.635 0.635 0.238
Br 0.748 0.748 0.667
Br 0.750 0.750 0.534
Br 0.910 0.910 0.890
Br 0.911 0.911 0.311
Br 0.975 0.975 0.601

PmDyPuMg | PBE | relaxed

- SG = F-43m, No. 216
- DFT formation energy (eV per formula unit) = 0.604
- total magnetization (μB/f.u.) = 6.2

Lattice parameters (Å, degrees): 7.776 7.776 7.776 90.00 90.00 90.00
Atoms (fractional coordinates):
Pm 0.000 0.000 0.000
Pm 0.000 0.500 0.500
Pm 0.500 0.000 0.500
Pm 0.500 0.500 0.000
Dy 0.000 0.000 0.500
Dy 0.000 0.500 0.000
Dy 0.500 0.000 0.000
Dy 0.500 0.500 0.500
Pu 0.250 0.250 0.750
Pu 0.250 0.750 0.250
Pu 0.750 0.250 0.250
Pu 0.750 0.750 0.750
Mg 0.250 0.250 0.250
Mg 0.250 0.750 0.750
Mg 0.750 0.250 0.750
Mg 0.750 0.750 0.250

Re4Ir3Os2 | PBE | relaxed

- SG = P-1, No. 2
- DFT formation energy (eV per formula unit) = -1.275
- total magnetization (μB/f.u.) = 0.0

Lattice parameters (Å, degrees): 4.810 7.060 8.542 71.35 73.72 89.98
Atoms (fractional coordinates):
Re 0.053 0.469 0.224
Re 0.165 0.080 0.335
Re 0.168 0.251 0.995
Re 0.389 0.802 0.556
Re 0.611 0.198 0.444
Re 0.832 0.749 0.005
Re 0.835 0.920 0.665
Re 0.947 0.531 0.776
Ir 0.056 0.305 0.556
Ir 0.277 0.027 0.779
Ir 0.387 0.637 0.888
Ir 0.613 0.363 0.112
Ir 0.723 0.973 0.221
Ir 0.944 0.695 0.444
Os 0.281 0.861 0.110
Os 0.499 0.584 0.333
Os 0.501 0.416 0.667
Os 0.719 0.139 0.890

Ac2PuGe4 | PBE | relaxed

- SG = I4/mmm, No. 139
- DFT formation energy (eV per formula unit) = -1.423
- total magnetization (μB/f.u.) = 5.1

Lattice parameters (Å, degrees): 5.256 5.256 16.068 90.00 90.00 90.00
Atoms (fractional coordinates):
Ac 0.000 0.000 0.134
Ac 0.000 0.000 0.866
Ac 0.500 0.500 0.366
Ac 0.500 0.500 0.634
Pu 0.000 0.000 0.500
Pu 0.500 0.500 0.000
Ge 0.000 0.000 0.331
Ge 0.000 0.000 0.669
Ge 0.000 0.500 0.000
Ge 0.000 0.500 0.500
Ge 0.500 0.000 0.000
Ge 0.500 0.000 0.500
Ge 0.500 0.500 0.169
Ge 0.500 0.500 0.831

CdInIr | PBE | relaxed

- SG = Imm2, No. 44
- DFT formation energy (eV per formula unit) = 0.020
- total magnetization (μB/f.u.) = 0.0

Lattice parameters (Å, degrees): 4.486 4.667 12.577 90.00 90.00 90.00
Atoms (fractional coordinates):
Cd 0.000 0.000 0.000
Cd 0.000 0.000 0.242
Cd 0.500 0.500 0.500
Cd 0.500 0.500 0.742
In 0.000 0.000 0.497
In 0.000 0.000 0.754
In 0.500 0.500 0.254
In 0.500 0.500 0.997
Ir 0.000 0.500 0.117
Ir 0.000 0.500 0.880
Ir 0.500 0.000 0.380
Ir 0.500 0.000 0.617

YHo2Cd6 | PBE | relaxed

- SG = P6/mmm, No. 191
- DFT formation energy (eV per formula unit) = -2.858
- total magnetization (μB/f.u.) = 0.0

Lattice parameters (Å, degrees): 8.598 8.598 3.432 90.00 90.00 120.00
Atoms (fractional coordinates):
Y 0.000 0.000 0.000
Ho 0.333 0.667 0.000
Ho 0.667 0.333 0.000
Cd 0.000 0.334 0.500
Cd 0.000 0.666 0.500
Cd 0.334 0.000 0.500
Cd 0.334 0.334 0.500
Cd 0.666 0.000 0.500
Cd 0.666 0.666 0.500

MgVCu | PBE | relaxed

- SG = P1, No. 1
- DFT formation energy (eV per formula unit) = 0.532
- total magnetization (μB/f.u.) = 0.0

Lattice parameters (Å, degrees): 3.018 5.266 6.491 68.80 89.88 73.37
Atoms (fractional coordinates):
Mg 0.000 0.000 0.000
Mg 0.320 0.358 0.201
V 0.298 0.406 0.650
V 0.649 0.699 0.405
Cu 0.661 0.677 0.840
Cu 0.982 0.035 0.549

KSn3O | PBE | relaxed

- SG = Pm-3m, No. 221
- total magnetization (μB/f.u.) = 0.0
- final energy (Ry/atom) = -0.146

Lattice parameters (Å, degrees): 5.984 5.984 5.984 90.00 90.00 90.00
Atoms (fractional coordinates):
K 0.000 0.000 0.000
Sn 0.000 0.000 0.500
Sn 0.000 0.500 0.000
Sn 0.500 0.000 0.000
O 0.500 0.500 0.500

CdFe2P | PBE | relaxed

- SG = I4/mmm, No. 139
- DFT formation energy (eV per formula unit) = 1.534
- total magnetization (μB/f.u.) = 5.2

Lattice parameters (Å, degrees): 3.873 3.873 7.655 90.00 90.00 90.00
Atoms (fractional coordinates):
Cd 0.000 0.000 0.000
Cd 0.500 0.500 0.500
Fe 0.000 0.500 0.250
Fe 0.000 0.500 0.750
Fe 0.500 0.000 0.250
Fe 0.500 0.000 0.750
P 0.000 0.000 0.500
P 0.500 0.500 0.000